Entry 1:
Ga3OsI after structural relaxation, computed with GGA-PBE.

Cell: 4.942 4.942 4.942 Å, 90.00 90.00 90.00°
Sites, in units of the cell vectors:
I1 0.500 0.500 0.500
Ga1 0.500 0.000 0.000
Ga2 0.000 0.500 0.000
Ga3 0.000 0.000 0.500
Os1 0.000 0.000 0.000

Properties
energy above the lowest structure with this stoichiometry = 0 meV per atom
density of states at the Fermi level = 0.39 states/eV/atom
formation energy from raw total energies = 0.09 eV per formula unit
crystal system = cubic
VASP energy = -21.8 eV/cell



Entry 2:
GaOs3I after structural relaxation, computed with GGA-PBE.

Cell: 4.604 4.604 4.604 Å, 90.00 90.00 90.00°
Sites, in units of the cell vectors:
I1 0.500 0.500 0.500
Ga1 0.000 0.000 0.000
Os1 0.000 0.500 0.000
Os2 0.000 0.000 0.500
Os3 0.500 0.000 0.000

Properties
density of states at the Fermi level = 1.11 states/eV/atom
formation energy from raw total energies = 10.84 eV per formula unit
crystal system = cubic
VASP energy = -27.4 eV/cell



Entry 3:
GaOsI2 after structural relaxation, computed with GGA-PBE.

Cell: 7.031 7.031 7.545 Å, 62.23 62.23 90.00°
Sites, in units of the cell vectors:
I1 0.698 0.125 0.250
I2 0.375 0.302 0.750
I3 0.875 0.948 0.750
Os1 0.000 0.000 0.000
Os2 0.750 0.250 0.500
Ga1 0.250 0.750 0.500
I4 0.052 0.625 0.250
Ga2 0.500 0.500 0.000

Properties
energy above the lowest structure with this stoichiometry = 0 meV per atom
density of states at the Fermi level = 0.74 states/eV/atom
formation energy from raw total energies = 3.35 eV per formula unit
crystal system = tetragonal
VASP energy = -28.0 eV/cell



Entry 4:
GaOs2I after structural relaxation, computed with GGA-PBE.

Cell: 4.542 4.542 4.542 Å, 60.00 60.00 60.00°
Sites, in units of the cell vectors:
Ga1 0.000 0.000 0.000
Os1 0.750 0.750 0.750
I1 0.500 0.500 0.500
Os2 0.250 0.250 0.250

Properties
energy above the lowest structure with this stoichiometry = 0 meV per atom
density of states at the Fermi level = 0.74 states/eV/atom
formation energy from raw total energies = 4.34 eV per formula unit
crystal system = cubic
VASP energy = -22.7 eV/cell



Entry 5:
GaOs2I after structural relaxation, computed with GGA-PBE.

Cell: 5.734 5.734 7.011 Å, 65.86 65.86 90.00°
Sites, in units of the cell vectors:
Os1 0.375 0.388 0.750
Ga1 0.250 0.750 0.500
Os2 0.875 0.862 0.750
I1 0.000 0.000 0.000
I2 0.750 0.250 0.500
Ga2 0.500 0.500 0.000
Os3 0.138 0.625 0.250
Os4 0.612 0.125 0.250

Properties
energy above the lowest structure with this stoichiometry = 352 meV per atom
density of states at the Fermi level = 0.73 states/eV/atom
formation energy from raw total energies = 5.75 eV per formula unit
crystal system = tetragonal
VASP energy = -42.6 eV/cell



Entry 6:
GaOsI2 after structural relaxation, computed with GGA-PBE.

Cell: 5.035 5.035 5.035 Å, 60.00 60.00 60.00°
Sites, in units of the cell vectors:
I1 0.250 0.250 0.250
Ga1 0.000 0.000 0.000
I2 0.750 0.750 0.750
Os1 0.500 0.500 0.500

Properties
energy above the lowest structure with this stoichiometry = 339 meV per atom
density of states at the Fermi level = 0.97 states/eV/atom
formation energy from raw total energies = 4.70 eV per formula unit
crystal system = cubic
VASP energy = -12.7 eV/cell



Q: Look up the formation energy from raw total energies of the second one.
A: 10.84 eV per formula unit